Compound: NaB3Pt
Source: the Alexandria database
Functional: GGA-PBE
Structure: relaxed

a b c (Å): 4.200 4.200 4.200
angles (deg): 90.00 90.00 90.00
Fractional coordinates of all 5 atoms:
Na: 0.000 0.000 0.000
B: 0.000 0.000 0.500
B: 0.000 0.500 0.000
B: 0.500 0.000 0.000
Pt: 0.500 0.500 0.500

## Properties
Total magnetization, μB per cell: 0.00
Energy relative to the elements, meV/atom: 2913.7
Final energy, eV/atom: -2.565

=====

Compound: Zr3CdC
Source: the Alexandria database
Functional: GGA-PBE
Structure: relaxed

a b c (Å): 5.490 6.453 5.568
angles (deg): 90.00 90.00 90.00
Fractional coordinates of all 10 atoms:
Zr: 0.250 0.000 0.178
Zr: 0.250 0.240 0.671
Zr: 0.250 0.760 0.671
Zr: 0.750 0.000 0.822
Zr: 0.750 0.240 0.329
Zr: 0.750 0.760 0.329
Cd: 0.250 0.500 0.183
Cd: 0.750 0.500 0.817
C: 0.000 0.000 0.500
C: 0.500 0.000 0.500

## Properties
Total magnetization, μB per cell: 0.00
Energy relative to the elements, meV/atom: -315.3
Final energy, eV/atom: -7.472

=====

Compound: BaNa2Pb
Source: the Alexandria database
Functional: GGA-PBE
Structure: relaxed

a b c (Å): 8.210 8.210 8.210
angles (deg): 151.37 137.77 51.81
Fractional coordinates of all 4 atoms:
Ba: 0.000 0.000 0.000
Na: 0.291 0.291 0.000
Na: 0.709 0.709 0.000
Pb: 0.500 0.500 0.000

## Properties
Total magnetization, μB per cell: 0.00
Energy relative to the elements, meV/atom: -113.2
Final energy, eV/atom: -2.180

=====

Compound: PrDy4Th5
Source: the Alexandria database
Functional: GGA-PBE
Structure: relaxed

a b c (Å): 11.383 11.383 8.402
angles (deg): 91.68 91.68 17.88
Fractional coordinates of all 10 atoms:
Pr: 0.000 0.000 0.000
Dy: 0.179 0.179 0.010
Dy: 0.406 0.406 0.261
Dy: 0.594 0.594 0.739
Dy: 0.821 0.821 0.990
Th: 0.000 0.000 0.500
Th: 0.263 0.263 0.336
Th: 0.385 0.385 0.671
Th: 0.615 0.615 0.329
Th: 0.737 0.737 0.664

## Properties
Total magnetization, μB per cell: 0.00
Energy relative to the elements, meV/atom: 207.1
Final energy, eV/atom: -5.822

=====

Compound: LiCeMg2Hg4
Source: the Alexandria database
Functional: GGA-PBE
Structure: relaxed

a b c (Å): 9.130 9.130 9.130
angles (deg): 31.17 31.17 31.17
Fractional coordinates of all 8 atoms:
Li: 0.000 0.000 0.000
Ce: 0.500 0.500 0.500
Mg: 0.255 0.255 0.255
Mg: 0.745 0.745 0.745
Hg: 0.112 0.112 0.112
Hg: 0.371 0.371 0.371
Hg: 0.629 0.629 0.629
Hg: 0.888 0.888 0.888

## Properties
Total magnetization, μB per cell: 0.98
Energy relative to the elements, meV/atom: -324.6
Final energy, eV/atom: -1.855

=====

Compound: Sm12Er6Cd
Source: the Alexandria database
Functional: GGA-PBE
Structure: relaxed

a b c (Å): 8.642 8.642 8.642
angles (deg): 97.33 97.33 97.33
Fractional coordinates of all 19 atoms:
Sm: 0.001 0.260 0.740
Sm: 0.170 0.580 0.579
Sm: 0.260 0.740 0.001
Sm: 0.260 0.999 0.740
Sm: 0.420 0.421 0.830
Sm: 0.421 0.830 0.420
Sm: 0.579 0.170 0.580
Sm: 0.580 0.579 0.170
Sm: 0.740 0.001 0.260
Sm: 0.740 0.260 0.999
Sm: 0.830 0.420 0.421
Sm: 0.999 0.740 0.260
Er: 0.135 0.406 0.137
Er: 0.137 0.135 0.406
Er: 0.406 0.137 0.135
Er: 0.594 0.863 0.865
Er: 0.863 0.865 0.594
Er: 0.865 0.594 0.863
Cd: 0.000 0.000 0.000

## Properties
Total magnetization, μB per cell: 0.00
Energy relative to the elements, meV/atom: 117.5
Final energy, eV/atom: -4.352

=====

Compound: HoPaZn2
Source: the Alexandria database
Functional: GGA-PBE
Structure: relaxed

a b c (Å): 5.231 5.231 3.214
angles (deg): 90.00 90.00 90.00
Fractional coordinates of all 4 atoms:
Ho: 0.000 0.000 0.000
Pa: 0.500 0.500 0.000
Zn: 0.000 0.500 0.500
Zn: 0.500 0.000 0.500

## Properties
Total magnetization, μB per cell: 0.74
Energy relative to the elements, meV/atom: -64.4
Final energy, eV/atom: -4.220

=====

Compound: LaInTc2
Source: the Alexandria database
Functional: GGA-PBE
Structure: relaxed

a b c (Å): 5.429 5.429 5.429
angles (deg): 144.57 119.63 71.99
Fractional coordinates of all 4 atoms:
La: 0.000 0.000 0.000
In: 0.500 0.500 0.000
Tc: 0.246 0.746 0.500
Tc: 0.754 0.254 0.500

## Properties
Total magnetization, μB per cell: 0.00
Energy relative to the elements, meV/atom: 481.5
Final energy, eV/atom: -6.618

=====

Compound: Hf2Sb2As
Source: the Alexandria database
Functional: GGA-PBE
Structure: relaxed

a b c (Å): 7.748 5.712 11.610
angles (deg): 90.00 90.00 90.00
Fractional coordinates of all 20 atoms:
Hf: 0.077 0.250 0.243
Hf: 0.132 0.250 0.929
Hf: 0.368 0.750 0.429
Hf: 0.423 0.750 0.743
Hf: 0.577 0.250 0.257
Hf: 0.632 0.250 0.571
Hf: 0.868 0.750 0.071
Hf: 0.923 0.750 0.757
Sb: 0.063 0.750 0.283
Sb: 0.190 0.750 0.944
Sb: 0.310 0.250 0.444
Sb: 0.437 0.250 0.783
Sb: 0.563 0.750 0.217
Sb: 0.690 0.750 0.556
Sb: 0.810 0.250 0.056
Sb: 0.937 0.250 0.717
As: 0.146 0.750 0.595
As: 0.354 0.250 0.095
As: 0.646 0.750 0.905
As: 0.854 0.250 0.405

## Properties
Total magnetization, μB per cell: 0.00
Formation energy from raw total energies, eV per atom: -0.34
Final energy, eV/atom: -6.904

=====

Compound: TcAs2
Source: the Alexandria database
Functional: GGA-PBE
Structure: relaxed

a b c (Å): 5.046 5.046 5.046
angles (deg): 109.43 109.43 109.55
Fractional coordinates of all 6 atoms:
Tc: 0.250 0.250 0.000
Tc: 0.750 0.750 0.000
As: 0.154 0.654 0.809
As: 0.346 0.154 0.500
As: 0.654 0.846 0.500
As: 0.846 0.346 0.191

## Properties
Total magnetization, μB per cell: 0.00
Energy relative to the elements, meV/atom: -68.1
Final energy, eV/atom: -6.623

=====

Compound: Ac3Mg2Co
Source: the Alexandria database
Functional: GGA-PBE
Structure: relaxed

a b c (Å): 9.244 9.244 8.025
angles (deg): 90.00 90.00 35.46
Fractional coordinates of all 12 atoms:
Ac: 0.000 0.000 0.250
Ac: 0.000 0.000 0.750
Ac: 0.379 0.379 0.000
Ac: 0.379 0.379 0.500
Ac: 0.621 0.621 0.000
Ac: 0.621 0.621 0.500
Mg: 0.206 0.207 0.250
Mg: 0.207 0.206 0.750
Mg: 0.793 0.794 0.250
Mg: 0.794 0.793 0.750
Co: 0.499 0.501 0.750
Co: 0.501 0.499 0.250

## Properties
Total magnetization, μB per cell: 0.00
Energy relative to the elements, meV/atom: -25.7
Final energy, eV/atom: -3.796

=====

Compound: Na2Tl4In
Source: the Alexandria database
Functional: GGA-PBE
Structure: relaxed

a b c (Å): 8.927 8.927 8.927
angles (deg): 141.91 141.91 54.97
Fractional coordinates of all 7 atoms:
Na: 0.113 0.113 0.000
Na: 0.887 0.887 0.000
Tl: 0.000 0.500 0.500
Tl: 0.310 0.310 0.000
Tl: 0.500 0.000 0.500
Tl: 0.690 0.690 0.000
In: 0.500 0.500 0.000

## Properties
Total magnetization, μB per cell: 0.00
Energy relative to the elements, meV/atom: 146.5
Final energy, eV/atom: -1.974

=====

Compound: Ta4ZnCo
Source: the Alexandria database
Functional: GGA-PBE
Structure: relaxed

a b c (Å): 5.355 5.355 5.355
angles (deg): 60.00 60.00 60.00
Fractional coordinates of all 6 atoms:
Ta: 0.125 0.125 0.125
Ta: 0.125 0.125 0.626
Ta: 0.125 0.626 0.125
Ta: 0.626 0.125 0.125
Zn: 0.750 0.750 0.750
Co: 0.500 0.500 0.500

## Properties
Total magnetization, μB per cell: 0.35
Energy relative to the elements, meV/atom: 646.8
Final energy, eV/atom: -8.652

=====

Compound: Ca7Mg3
Source: the Alexandria database
Functional: GGA-PBE
Structure: relaxed

a b c (Å): 10.580 10.580 7.693
angles (deg): 90.00 90.00 120.00
Fractional coordinates of all 20 atoms:
Ca: 0.061 0.530 0.000
Ca: 0.123 0.247 0.278
Ca: 0.123 0.877 0.278
Ca: 0.247 0.123 0.778
Ca: 0.333 0.667 0.355
Ca: 0.470 0.530 0.000
Ca: 0.470 0.939 0.000
Ca: 0.530 0.061 0.500
Ca: 0.530 0.470 0.500
Ca: 0.667 0.333 0.855
Ca: 0.753 0.877 0.278
Ca: 0.877 0.123 0.778
Ca: 0.877 0.753 0.778
Ca: 0.939 0.470 0.500
Mg: 0.220 0.440 0.687
Mg: 0.220 0.780 0.687
Mg: 0.440 0.220 0.187
Mg: 0.560 0.780 0.687
Mg: 0.780 0.220 0.187
Mg: 0.780 0.560 0.187

## Properties
Total magnetization, μB per cell: 0.00
Energy relative to the elements, meV/atom: 4.3
Final energy, eV/atom: -1.875

=====

Compound: CaMgSe2
Source: the Alexandria database
Functional: GGA-PBE
Structure: relaxed

a b c (Å): 3.733 4.170 6.493
angles (deg): 90.00 90.00 90.00
Fractional coordinates of all 4 atoms:
Ca: 0.000 0.000 0.000
Mg: 0.000 0.500 0.500
Se: 0.500 0.000 0.500
Se: 0.500 0.500 0.000

## Properties
Total magnetization, μB per cell: 0.00
Formation energy from raw total energies, eV per atom: -1.22
Final energy, eV/atom: -3.860

=====

Compound: PmDy2Cu
Source: the Alexandria database
Functional: GGA-PBE
Structure: relaxed

a b c (Å): 9.967 9.967 9.967
angles (deg): 21.26 21.26 21.26
Fractional coordinates of all 4 atoms:
Pm: 0.000 0.000 0.000
Dy: 0.233 0.233 0.233
Dy: 0.435 0.435 0.435
Cu: 0.835 0.835 0.835

## Properties
Total magnetization, μB per cell: 0.00
Energy relative to the elements, meV/atom: 29.9
Final energy, eV/atom: -4.483

=====

Compound: AcSm2In
Source: the Alexandria database
Functional: GGA-PBE
Structure: relaxed

a b c (Å): 5.675 5.675 5.675
angles (deg): 60.00 60.00 60.00
Fractional coordinates of all 4 atoms:
Ac: 0.000 0.000 0.000
Sm: 0.250 0.250 0.250
Sm: 0.750 0.750 0.750
In: 0.500 0.500 0.500

## Properties
Total magnetization, μB per cell: 0.00
Energy relative to the elements, meV/atom: -73.5
Final energy, eV/atom: -4.145

=====

Compound: Tb5Sm6Pu
Source: the Alexandria database
Functional: GGA-PBE
Structure: relaxed

a b c (Å): 6.216 6.216 11.823
angles (deg): 95.05 95.05 120.03
Fractional coordinates of all 12 atoms:
Tb: 0.000 0.000 0.000
Tb: 0.167 0.833 0.500
Tb: 0.333 0.667 0.000
Tb: 0.667 0.333 0.000
Tb: 0.833 0.167 0.500
Sm: 0.088 0.417 0.252
Sm: 0.253 0.253 0.748
Sm: 0.417 0.088 0.252
Sm: 0.583 0.912 0.748
Sm: 0.747 0.747 0.252
Sm: 0.912 0.583 0.748
Pu: 0.500 0.500 0.500

## Properties
Total magnetization, μB per cell: 6.61
Energy relative to the elements, meV/atom: 46.0
Final energy, eV/atom: -5.437

=====

Compound: RbTcOs
Source: the Alexandria database
Functional: GGA-PBE
Structure: relaxed

a b c (Å): 7.001 7.001 2.859
angles (deg): 97.99 97.99 31.13
Fractional coordinates of all 3 atoms:
Rb: 0.000 0.000 0.000
Tc: 0.718 0.718 0.706
Os: 0.290 0.290 0.305

## Properties
Total magnetization, μB per cell: 0.00
Energy relative to the elements, meV/atom: 981.4
Final energy, eV/atom: -6.540

=====

Compound: Tb2Pm2Mg
Source: the Alexandria database
Functional: GGA-PBE
Structure: relaxed

a b c (Å): 12.083 12.083 12.083
angles (deg): 162.67 162.67 24.60
Fractional coordinates of all 5 atoms:
Tb: 0.090 0.090 0.000
Tb: 0.910 0.910 0.000
Pm: 0.306 0.306 0.000
Pm: 0.694 0.694 0.000
Mg: 0.500 0.500 0.000

## Properties
Total magnetization, μB per cell: 0.00
Energy relative to the elements, meV/atom: -20.4
Final energy, eV/atom: -4.092

=====

Compound: CdAgW2
Source: the Alexandria database
Functional: GGA-PBE
Structure: relaxed

a b c (Å): 10.772 10.772 10.772
angles (deg): 159.73 159.73 28.82
Fractional coordinates of all 8 atoms:
Cd: 0.000 0.000 0.000
Cd: 0.750 0.250 0.500
Ag: 0.250 0.750 0.500
Ag: 0.500 0.500 0.000
W: 0.124 0.625 0.999
W: 0.375 0.374 0.499
W: 0.626 0.125 0.001
W: 0.875 0.876 0.501

## Properties
Total magnetization, μB per cell: 0.00
Energy relative to the elements, meV/atom: 1016.8
Final energy, eV/atom: -6.401

=====

Compound: Rb2Li2Au
Source: the Alexandria database
Functional: GGA-PBE
Structure: relaxed

a b c (Å): 11.461 11.461 11.461
angles (deg): 158.94 158.94 29.96
Fractional coordinates of all 5 atoms:
Rb: 0.093 0.093 0.000
Rb: 0.907 0.907 0.000
Li: 0.250 0.750 0.500
Li: 0.750 0.250 0.500
Au: 0.500 0.500 0.000

## Properties
Total magnetization, μB per cell: 0.00
Energy relative to the elements, meV/atom: -17.5
Final energy, eV/atom: -1.825

=====

Compound: Ca4TeAsI2
Source: the Alexandria database
Functional: GGA-PBE
Structure: relaxed

a b c (Å): 7.792 4.449 7.852
angles (deg): 90.00 109.07 90.00
Fractional coordinates of all 8 atoms:
Ca: 0.216 0.000 0.202
Ca: 0.241 0.500 0.788
Ca: 0.759 0.500 0.212
Ca: 0.784 0.000 0.798
Te: 0.500 0.000 0.000
As: 0.000 0.500 0.000
I: 0.000 0.000 0.500
I: 0.500 0.500 0.500

## Properties
Total magnetization, μB per cell: 0.00
Formation energy from raw total energies, eV per atom: -1.37
Final energy, eV/atom: -3.729

=====

Compound: Mo2H4Ru
Source: the Alexandria database
Functional: GGA-PBE
Structure: relaxed

a b c (Å): 5.543 5.543 5.543
angles (deg): 143.94 143.94 51.92
Fractional coordinates of all 7 atoms:
Mo: 0.147 0.147 0.000
Mo: 0.853 0.853 0.000
H: 0.000 0.500 0.500
H: 0.330 0.330 0.000
H: 0.500 0.000 0.500
H: 0.670 0.670 0.000
Ru: 0.500 0.500 0.000

## Properties
Total magnetization, μB per cell: 0.00
Final energy, eV/atom: -5.979